Run one
! Th6Sn2C PBE optimized geometry; values from VASP
&SYSTEM
  ibrav = 0, nat = 18, ntyp = 3
/
ATOMIC_SPECIES
Th 232.04 Th.upf
Sn 118.71 Sn.upf
C 12.01 C.upf
ATOMIC_POSITIONS crystal
Th 0.344 0.834 0.466
Th 0.656 0.166 0.534
Th 0.156 0.334 0.034
Th 0.388 0.520 0.748
Th 0.865 0.711 0.543
Th 0.112 0.020 0.752
Th 0.635 0.211 0.957
Th 0.888 0.980 0.248
Th 0.844 0.666 0.966
Th 0.135 0.289 0.457
Th 0.365 0.789 0.043
Th 0.612 0.480 0.252
Sn 0.087 0.607 0.259
Sn 0.587 0.893 0.759
Sn 0.913 0.393 0.741
Sn 0.413 0.107 0.241
C 0.500 0.500 0.000
C 0.000 0.000 0.500
CELL_PARAMETERS angstrom
6.491 0.000 0.151
0.000 8.092 0.000
-0.639 0.000 10.072
! Spin magnetization: 0.00 Bohr magnetons per cell
! Space-group type: No. 14



Run two
! Th6Sn2C PBE optimized geometry; values from VASP
&SYSTEM
  ibrav = 0, nat = 18, ntyp = 3
/
ATOMIC_SPECIES
Th 232.04 Th.upf
Sn 118.71 Sn.upf
C 12.01 C.upf
ATOMIC_POSITIONS crystal
Th 0.000 0.000 0.249
Th 0.500 0.500 0.251
Th 0.749 0.750 0.500
Th 0.750 0.251 0.500
Th 0.500 0.500 0.749
Th 0.250 0.249 0.000
Th 0.249 0.750 0.000
Th 0.751 0.250 0.000
Th 0.251 0.250 0.500
Th 0.250 0.749 0.500
Th 0.750 0.751 0.000
Th 0.000 0.000 0.751
Sn 0.000 0.500 0.250
Sn 0.500 0.000 0.750
Sn 0.500 0.000 0.250
Sn 0.000 0.500 0.750
C 0.000 0.000 0.500
C 0.500 0.500 0.000
CELL_PARAMETERS angstrom
-3.955 5.367 -2.351
-5.832 -3.878 0.959
-0.794 3.504 9.341
! Spin magnetization: 0.00 Bohr magnetons per cell
! Space-group type: No. 128



Energy relative to the most stable one, in meV/atom: run one 0; run two 11



Run one
! Ti2SnC PBE optimized geometry; values from VASP
&SYSTEM
  ibrav = 0, nat = 8, ntyp = 3
/
ATOMIC_SPECIES
Sn 118.71 Sn.upf
C 12.01 C.upf
Ti 47.87 Ti.upf
ATOMIC_POSITIONS crystal
Sn 0.750 0.250 0.500
Sn 0.000 0.000 0.000
C 0.250 0.750 0.500
C 0.500 0.500 0.000
Ti 0.531 0.125 0.250
Ti 0.375 0.469 0.750
Ti 0.875 0.781 0.750
Ti 0.219 0.625 0.250
CELL_PARAMETERS angstrom
6.482 0.000 0.000
0.000 6.482 0.000
3.241 3.241 3.119
! Spin magnetization: 0.00 Bohr magnetons per cell
! Space-group type: No. 122



Run two
! Ti2SnC PBE optimized geometry; values from VASP
&SYSTEM
  ibrav = 0, nat = 4, ntyp = 3
/
ATOMIC_SPECIES
Ti 47.87 Ti.upf
C 12.01 C.upf
Sn 118.71 Sn.upf
ATOMIC_POSITIONS crystal
Ti 0.250 0.250 0.250
Ti 0.750 0.750 0.750
C 0.000 0.000 0.000
Sn 0.500 0.500 0.500
CELL_PARAMETERS angstrom
0.000 3.145 3.145
3.145 0.000 3.145
3.145 3.145 0.000
! Spin magnetization: 0.00 Bohr magnetons per cell
! Space-group type: No. 225



Energy relative to the most stable one, in meV/atom: run one 0; run two 912